DFT (PBE) results for crystalline Cs2LaSnI6 at its relaxed geometry. Values from VASP.

**Raw formation energy**: -1166 meV/atom

Structure (Quantum ESPRESSO input):
```
&SYSTEM
  ibrav = 0, nat = 10, ntyp = 4
/
ATOMIC_SPECIES
I 126.90 I.upf
La 138.91 La.upf
Cs 132.91 Cs.upf
Sn 118.71 Sn.upf
CELL_PARAMETERS angstrom
-2.0851 8.1104 3.0608
-6.9440 0.3218 -5.5832
-8.5654 1.3360 3.6109
ATOMIC_POSITIONS angstrom
I -6.7286 2.6420 1.4017
I -6.7728 6.3251 -1.8921
I -2.2563 2.1071 -0.6303
I -10.8660 7.1263 -0.3132
I -3.2993 6.1641 0.9008
I -5.7298 2.2681 -3.4231
La 0.0000 0.0000 0.0000
Cs -7.5825 6.8313 2.7053
Cs -10.0120 2.9370 -1.6168
Sn -4.5146 4.2161 -1.2612
```


DFT (PBE) results for crystalline CsSrLaI6 at its relaxed geometry. Values from VASP.

**Raw formation energy**: -1526 meV/atom

Structure (Quantum ESPRESSO input):
```
&SYSTEM
  ibrav = 0, nat = 18, ntyp = 4
/
ATOMIC_SPECIES
I 126.90 I.upf
La 138.91 La.upf
Cs 132.91 Cs.upf
Sr 87.62 Sr.upf
CELL_PARAMETERS angstrom
-10.4523 2.5555 4.0614
-3.4123 -11.3307 -1.6522
9.4937 2.4800 6.5877
ATOMIC_POSITIONS angstrom
I -0.0502 -0.4455 6.7610
I -6.5726 1.7976 4.8482
I 2.2017 -8.0928 4.1487
I 1.3678 -4.4867 6.3432
I -2.0408 -7.0556 5.7972
I -2.6357 2.8165 7.7293
I -4.3207 -5.8497 2.2358
I -5.7387 -1.8085 2.6537
I -2.3301 0.7604 3.1997
I -8.5632 -4.8124 3.8843
I 4.1923 -1.4828 5.1126
I -1.7352 -9.1117 1.2675
La -6.9323 -4.3876 1.2046
La -5.2262 1.2778 2.0307
Cs -3.8415 -3.2215 8.4252
Cs -0.5294 -3.0737 0.5717
Sr -0.4793 2.5178 5.3245
Sr 4.7468 1.2400 3.2938
```


DFT (PBE) results for crystalline Cs2LaTaI6 at its relaxed geometry. Values from VASP.

**Raw formation energy**: -899 meV/atom

Structure (Quantum ESPRESSO input):
```
&SYSTEM
  ibrav = 0, nat = 10, ntyp = 4
/
ATOMIC_SPECIES
I 126.90 I.upf
Ta 180.95 Ta.upf
Cs 132.91 Cs.upf
La 138.91 La.upf
CELL_PARAMETERS angstrom
8.4971 0.0000 0.0000
0.0000 8.4971 0.0000
4.2485 4.2485 6.0102
ATOMIC_POSITIONS angstrom
I 2.0191 2.0191 0.0000
I 6.4780 6.4780 0.0000
I 8.4971 8.4971 2.8563
I 4.2485 4.2485 3.1539
I 2.0191 6.4780 0.0000
I 6.4780 2.0191 0.0000
Ta 0.0000 0.0000 0.0000
Cs 8.4971 4.2485 3.0051
Cs 4.2485 8.4971 3.0051
La 4.2485 4.2485 0.0000
```


DFT (PBE) results for crystalline CsLaTeI at its relaxed geometry. Values from VASP.

**Raw formation energy**: -1313 meV/atom

Structure (Quantum ESPRESSO input):
```
&SYSTEM
  ibrav = 0, nat = 4, ntyp = 4
/
ATOMIC_SPECIES
Te 127.60 Te.upf
Cs 132.91 Cs.upf
La 138.91 La.upf
I 126.90 I.upf
CELL_PARAMETERS angstrom
-0.2729 2.6684 3.7859
1.5687 -4.3532 0.3416
8.3606 2.6869 -4.1434
ATOMIC_POSITIONS angstrom
Te 8.3989 0.8754 -2.3230
Cs 5.4365 2.4009 -0.7709
La 2.2923 -3.5849 0.3884
I 3.0131 1.7714 2.3475
```


DFT (PBE) results for crystalline Cs2LaTiI6 at its relaxed geometry. Values from VASP.

**Raw formation energy**: -1202 meV/atom

Structure (Quantum ESPRESSO input):
```
&SYSTEM
  ibrav = 0, nat = 10, ntyp = 4
/
ATOMIC_SPECIES
I 126.90 I.upf
Ti 47.87 Ti.upf
Cs 132.91 Cs.upf
La 138.91 La.upf
CELL_PARAMETERS angstrom
8.6078 0.0000 0.0000
0.0000 8.6078 0.0000
4.3039 4.3039 6.0869
ATOMIC_POSITIONS angstrom
I 4.3039 4.3039 2.9240
I 2.2364 6.3714 0.0000
I 2.2364 2.2364 0.0000
I 6.3714 6.3714 0.0000
I 6.3714 2.2364 0.0000
I 8.6078 8.6078 3.1629
Ti 4.3039 4.3039 0.0000
Cs 8.6078 4.3039 3.0434
Cs 4.3039 8.6078 3.0434
La 0.0000 0.0000 0.0000
```


DFT (PBE) results for crystalline Cs2LaTlI6 at its relaxed geometry. Values from VASP.

**Excess energy over the best structure of this formula in the dataset**: 36 meV per atom
**Raw formation energy**: -1355 meV/atom

Structure (Quantum ESPRESSO input):
```
&SYSTEM
  ibrav = 0, nat = 10, ntyp = 4
/
ATOMIC_SPECIES
I 126.90 I.upf
Tl 204.38 Tl.upf
La 138.91 La.upf
Cs 132.91 Cs.upf
CELL_PARAMETERS angstrom
9.2455 0.0000 0.0000
0.0000 9.2455 0.0000
4.6227 4.6227 6.5406
ATOMIC_POSITIONS angstrom
I 6.8513 2.3942 0.0000
I 4.6227 4.6227 3.1521
I 9.2455 9.2455 3.3885
I 6.8513 6.8513 0.0000
I 2.3942 6.8513 0.0000
I 2.3942 2.3942 0.0000
Tl 0.0000 0.0000 0.0000
La 4.6227 4.6227 0.0000
Cs 4.6227 9.2455 3.2703
Cs 9.2455 4.6227 3.2703
```


DFT (PBE) results for crystalline Cs2LaTlI6 at its relaxed geometry. Values from VASP.

**Excess energy over the best structure of this formula in the dataset**: 0 meV per atom
**Raw formation energy**: -1391 meV/atom

Structure (Quantum ESPRESSO input):
```
&SYSTEM
  ibrav = 0, nat = 20, ntyp = 4
/
ATOMIC_SPECIES
I 126.90 I.upf
La 138.91 La.upf
Tl 204.38 Tl.upf
Cs 132.91 Cs.upf
CELL_PARAMETERS angstrom
8.8226 0.0000 0.0274
0.0000 9.4042 0.0000
0.1172 0.0000 12.7992
ATOMIC_POSITIONS angstrom
I 7.9637 4.9291 3.0734
I 7.3589 7.3956 12.1741
I 0.9761 4.4751 9.7532
I 1.8683 1.7307 5.7925
I 2.6016 6.4328 0.6208
I 2.8890 6.7107 5.7608
I 6.3382 2.9714 12.2058
I 5.3288 0.2270 3.3672
I 6.0508 2.6935 7.0658
I 1.5809 2.0086 0.6525
I 7.0715 7.6735 7.0341
I 3.6110 9.1772 9.4593
La 4.4699 0.0000 6.4133
La 0.0000 4.7021 0.0000
Tl 0.0586 4.7021 6.3996
Tl 4.4113 0.0000 0.0137
Cs 4.1817 3.9580 3.2066
Cs 0.2882 8.6601 3.2067
Cs 8.6517 0.7441 9.6198
Cs 4.7581 5.4462 9.6200
```


DFT (PBE) results for crystalline CsLaTl2I6 at its relaxed geometry. Values from VASP.

**Raw formation energy**: -1190 meV/atom

Structure (Quantum ESPRESSO input):
```
&SYSTEM
  ibrav = 0, nat = 10, ntyp = 4
/
ATOMIC_SPECIES
I 126.90 I.upf
La 138.91 La.upf
Cs 132.91 Cs.upf
Tl 204.38 Tl.upf
CELL_PARAMETERS angstrom
-7.5082 0.7880 4.6446
-6.0582 -6.4663 -0.2250
-1.0613 -5.3558 7.6637
ATOMIC_POSITIONS angstrom
I -7.1015 -4.5387 9.1083
I -10.8776 -4.1688 6.1464
I -7.8880 -8.3851 7.3924
I -7.8546 -7.2840 2.7099
I -4.2317 -6.3464 6.4896
I -5.9393 -2.3689 4.3854
La -4.4500 -1.9639 1.6014
Cs -11.5855 -7.6607 7.9597
Tl -7.5254 -5.3058 5.6665
Tl -1.1106 -5.3081 7.5777
```


For each record above, in turn, the calculated uncorrected energy values are -3.16, -3.39, -3.68, -3.93, -3.59, -3.18, -3.22, -3.17 eV/atom.